No. 1
! Re2TeAs (PBE-GGA, optimized geometry); values from VASP
&SYSTEM
  ibrav = 0, nat = 4, ntyp = 3
/
ATOMIC_SPECIES
Re 186.21 Re.upf
Te 127.60 Te.upf
As 74.92 As.upf
CELL_PARAMETERS angstrom
4.1788 0.0000 0.0000
0.0000 4.0184 0.0000
-0.6868 0.0000 5.4368
ATOMIC_POSITIONS angstrom
Re 0.5598 0.0000 1.9754
Re 2.9322 0.0000 3.4613
Te 0.0000 2.0092 0.0000
As 1.7460 2.0092 2.7184
! SG = P2/m (10)
! E_form (uncorrected) = 0.745 eV per atom
! theoretical density = 10.5 g cm⁻³

---

No. 2
! Mn2ZnCo (PBE-GGA, optimized geometry); values from VASP
&SYSTEM
  ibrav = 0, nat = 4, ntyp = 3
/
ATOMIC_SPECIES
Mn 54.94 Mn.upf
Zn 65.41 Zn.upf
Co 58.93 Co.upf
CELL_PARAMETERS angstrom
1.2653 0.7305 8.3125
-1.2653 0.7305 8.3125
0.0000 -1.4610 8.3125
ATOMIC_POSITIONS angstrom
Mn 0.0000 0.0000 0.0000
Mn 0.0000 0.0000 6.4031
Zn 0.0000 0.0000 18.8605
Co 0.0000 0.0000 12.7028
! ΔH_f (0 K) = 77.4 meV/atom
! SG = R3m (160)
! theoretical density = 8.4 g cm⁻³

---

No. 3
! LaHgBr (PBE-GGA, optimized geometry); values from VASP
&SYSTEM
  ibrav = 0, nat = 6, ntyp = 3
/
ATOMIC_SPECIES
La 138.91 La.upf
Hg 200.59 Hg.upf
Br 79.90 Br.upf
CELL_PARAMETERS angstrom
3.9259 -2.2788 0.0000
3.9259 2.2788 0.0000
-0.1765 0.0000 11.6461
ATOMIC_POSITIONS angstrom
La -0.0083 0.0000 2.4018
La 7.6837 0.0000 9.2442
Hg 2.6139 0.0000 0.6110
Hg 5.0615 0.0000 11.0351
Br 2.4553 0.0000 7.5508
Br 5.2201 0.0000 4.0952
! SG = C2/m (12)
! E_form (uncorrected) = -1.065 eV per atom
! theoretical density = 6.7 g cm⁻³

---

No. 4
! TbHoMgAl (PBE-GGA, optimized geometry); values from VASP
&SYSTEM
  ibrav = 0, nat = 4, ntyp = 4
/
ATOMIC_SPECIES
Tb 158.93 Tb.upf
Ho 164.93 Ho.upf
Mg 24.30 Mg.upf
Al 26.98 Al.upf
CELL_PARAMETERS angstrom
0.0000 3.6743 3.6743
3.6743 0.0000 3.6743
3.6743 3.6743 0.0000
ATOMIC_POSITIONS angstrom
Tb 0.0000 0.0000 0.0000
Ho 3.6743 3.6743 3.6743
Mg 1.8372 1.8372 1.8372
Al 5.5115 5.5115 5.5115
! ΔH_f (0 K) = -272.5 meV/atom
! SG = F-43m (216)
! theoretical density = 6.3 g cm⁻³

---

No. 5
! YSc3Zn2 (PBE-GGA, optimized geometry); values from VASP
&SYSTEM
  ibrav = 0, nat = 12, ntyp = 3
/
ATOMIC_SPECIES
Y 88.91 Y.upf
Sc 44.96 Sc.upf
Zn 65.41 Zn.upf
CELL_PARAMETERS angstrom
4.7237 0.0000 0.0000
0.0000 8.5921 0.0000
0.0000 0.0000 6.5389
ATOMIC_POSITIONS angstrom
Y 0.0000 0.4628 0.0000
Y 0.0000 8.1293 3.2695
Sc 0.0000 2.8523 4.2540
Sc 0.0000 5.7398 0.9845
Sc 2.3618 1.6307 2.0665
Sc 2.3618 3.8244 6.2838
Sc 2.3618 4.7677 3.0144
Sc 2.3618 6.9614 5.3360
Zn 0.0000 3.0569 1.4433
Zn 0.0000 5.5352 4.7127
Zn 2.3618 1.2884 4.8539
Zn 2.3618 7.3037 1.5844
! ΔH_f (0 K) = -243.0 meV/atom
! SG = Pmc2_1 (26)
! theoretical density = 4.4 g cm⁻³

---

No. 6
! LaSm2ThHg4 (PBE-GGA, optimized geometry); values from VASP
&SYSTEM
  ibrav = 0, nat = 8, ntyp = 4
/
ATOMIC_SPECIES
La 138.91 La.upf
Sm 150.36 Sm.upf
Th 232.04 Th.upf
Hg 200.59 Hg.upf
CELL_PARAMETERS angstrom
2.7089 1.5640 8.8728
-2.7089 1.5640 8.8728
0.0000 -3.1279 8.8728
ATOMIC_POSITIONS angstrom
La 0.0000 0.0000 0.0000
Sm 0.0000 0.0000 6.6205
Sm 0.0000 0.0000 19.9980
Th 0.0000 0.0000 13.3093
Hg 0.0000 0.0000 3.3373
Hg 0.0000 0.0000 10.0046
Hg 0.0000 0.0000 16.6139
Hg 0.0000 0.0000 23.2812
! ΔH_f (0 K) = -398.6 meV/atom
! SG = R-3m (166)
! theoretical density = 10.9 g cm⁻³

---

No. 7
! Pm8YMg6 (PBE-GGA, optimized geometry); values from VASP
&SYSTEM
  ibrav = 0, nat = 15, ntyp = 3
/
ATOMIC_SPECIES
Pm 145.00 Pm.upf
Y 88.91 Y.upf
Mg 24.30 Mg.upf
CELL_PARAMETERS angstrom
4.6238 2.6695 6.5989
-4.6238 2.6695 6.5989
0.0000 -5.3391 6.5989
ATOMIC_POSITIONS angstrom
Pm -3.0857 -0.0040 7.5625
Pm 0.0000 0.0000 3.2991
Pm -1.5394 -2.6743 12.2342
Pm 1.5463 -2.6703 7.5625
Pm -1.5463 2.6703 12.2342
Pm 1.5394 2.6743 7.5625
Pm 0.0000 0.0000 16.4976
Pm 3.0857 0.0040 12.2342
Y 0.0000 0.0000 9.8983
Mg -1.5323 -2.6541 8.9767
Mg -3.0647 0.0000 10.8200
Mg -1.5324 2.6541 8.9767
Mg 1.5324 -2.6541 10.8200
Mg 3.0647 0.0000 8.9767
Mg 1.5323 2.6541 10.8200
! ΔH_f (0 K) = 155.7 meV/atom
! SG = R-3 (148)
! theoretical density = 4.7 g cm⁻³